1.
Entry from the Alexandria database: crystalline SrTaNbO6 at its relaxed geometry (PBE).

Calculated values
formation energy (no corrections) = -26.0 eV per formula unit
SG = P-31c, No. 163
uncorrected energy = -8.81 eV per atom
total magnetization = 0.0 μB per cell

Cell: 5.3692 5.3692 10.7618 Å, 90.00 90.00 120.00°
Atoms (fractional coordinates):
Sr 0.0000 0.0000 0.0000
Sr 0.0000 0.0000 0.5000
Ta 0.3333 0.6667 0.2500
Ta 0.6667 0.3333 0.7500
Nb 0.3333 0.6667 0.7500
Nb 0.6667 0.3333 0.2500
O 0.0021 0.3813 0.1468
O 0.0021 0.6208 0.3532
O 0.3792 0.3813 0.3532
O 0.3792 0.9979 0.1468
O 0.3813 0.0021 0.6468
O 0.3813 0.3792 0.8532
O 0.6187 0.6208 0.1468
O 0.6187 0.9979 0.3532
O 0.6208 0.0021 0.8532
O 0.6208 0.6187 0.6468
O 0.9979 0.3792 0.6468
O 0.9979 0.6187 0.8532


2.
Entry from the Alexandria database: crystalline Sr2NbTcO6 at its relaxed geometry (PBE).

Calculated values
formation energy (no corrections) = -24.4 eV per formula unit
SG = P4/mmm, No. 123
uncorrected energy = -7.79 eV per atom
total magnetization = 1.3 μB per cell

Cell: 4.0471 4.0471 8.0790 Å, 90.00 90.00 90.00°
Atoms (fractional coordinates):
Sr 0.0000 0.0000 0.2332
Sr 0.0000 0.0000 0.7668
Nb 0.5000 0.5000 0.5000
Tc 0.5000 0.5000 0.0000
O 0.0000 0.5000 0.0000
O 0.0000 0.5000 0.5000
O 0.5000 0.0000 0.0000
O 0.5000 0.0000 0.5000
O 0.5000 0.5000 0.2533
O 0.5000 0.5000 0.7467


3.
Entry from the Alexandria database: crystalline SrNbTc2O8 at its relaxed geometry (PBE).

Calculated values
formation energy (no corrections) = -22.6 eV per formula unit
SG = Cmmm, No. 65
uncorrected energy = -7.90 eV per atom
total magnetization = 0.0 μB per cell

Cell: 4.8995 4.8995 6.4270 Å, 90.00 90.00 92.39°
Atoms (fractional coordinates):
Sr 0.0000 0.0000 0.0000
Nb 0.0000 0.0000 0.5000
Tc 0.5000 0.5000 0.2572
Tc 0.5000 0.5000 0.7428
O 0.2185 0.2185 0.2924
O 0.2185 0.2185 0.7076
O 0.2967 0.7033 0.5000
O 0.3417 0.6583 0.0000
O 0.6583 0.3417 0.0000
O 0.7033 0.2967 0.5000
O 0.7815 0.7815 0.2924
O 0.7815 0.7815 0.7076


4.
Entry from the Alexandria database: crystalline SrNbTe2O8 at its relaxed geometry (PBE).

Calculated values
formation energy (no corrections) = -20.3 eV per formula unit
SG = C2/m, No. 12
uncorrected energy = -6.50 eV per atom
total magnetization = 0.7 μB per cell

Cell: 6.7076 6.7076 5.6469 Å, 108.73 108.73 48.35°
Atoms (fractional coordinates):
Sr 0.0000 0.0000 0.0000
Nb 0.5000 0.5000 0.5000
Te 0.2229 0.2229 0.7046
Te 0.7771 0.7771 0.2954
O 0.1322 0.6523 0.2682
O 0.1859 0.1859 0.3569
O 0.3477 0.8678 0.7318
O 0.4152 0.4152 0.7295
O 0.5848 0.5848 0.2705
O 0.6523 0.1322 0.2682
O 0.8141 0.8141 0.6431
O 0.8678 0.3477 0.7318


5.
Entry from the Alexandria database: crystalline SrNbTeO6 at its relaxed geometry (PBE).

Calculated values
formation energy (no corrections) = -18.8 eV per formula unit
SG = P-31c, No. 163
uncorrected energy = -7.05 eV per atom
total magnetization = 0.0 μB per cell

Cell: 5.4639 5.4639 10.7287 Å, 90.00 90.00 120.00°
Atoms (fractional coordinates):
Sr 0.0000 0.0000 0.0000
Sr 0.0000 0.0000 0.5000
Nb 0.3333 0.6667 0.2500
Nb 0.6667 0.3333 0.7500
Te 0.3333 0.6667 0.7500
Te 0.6667 0.3333 0.2500
O 0.0014 0.3841 0.1448
O 0.0014 0.6172 0.3552
O 0.3828 0.3841 0.3552
O 0.3828 0.9986 0.1448
O 0.3841 0.0014 0.6448
O 0.3841 0.3828 0.8552
O 0.6159 0.6172 0.1448
O 0.6159 0.9986 0.3552
O 0.6172 0.0014 0.8552
O 0.6172 0.6159 0.6448
O 0.9986 0.3828 0.6448
O 0.9986 0.6159 0.8552


6.
Entry from the Alexandria database: crystalline SrThNb2O8 at its relaxed geometry (PBE).

Calculated values
formation energy (no corrections) = -36.5 eV per formula unit
SG = I-4, No. 82
uncorrected energy = -8.79 eV per atom
total magnetization = 0.0 μB per cell

Cell: 6.9824 6.9824 6.9824 Å, 134.28 134.28 66.65°
Atoms (fractional coordinates):
Sr 0.0000 0.0000 0.0000
Th 0.2500 0.7500 0.5000
Nb 0.5000 0.5000 0.0000
Nb 0.7500 0.2500 0.5000
O 0.0049 0.0843 0.4261
O 0.2567 0.6557 0.0941
O 0.3443 0.4384 0.6010
O 0.4211 0.9951 0.0794
O 0.5616 0.1625 0.9059
O 0.6582 0.5789 0.5739
O 0.8375 0.7433 0.3990
O 0.9157 0.3418 0.9206


7.
Entry from the Alexandria database: crystalline Sr4Ti3NbO12 at its relaxed geometry (PBE).

Calculated values
formation energy (no corrections) = -61.0 eV per formula unit
SG = Im-3m, No. 229
uncorrected energy = -8.05 eV per atom
total magnetization = 0.0 μB per cell

Cell: 6.9001 6.9001 6.9001 Å, 109.47 109.47 109.47°
Atoms (fractional coordinates):
Sr 0.0000 0.0000 0.5000
Sr 0.0000 0.5000 0.0000
Sr 0.5000 0.0000 0.0000
Sr 0.5000 0.5000 0.5000
Ti 0.0000 0.5000 0.5000
Ti 0.5000 0.0000 0.5000
Ti 0.5000 0.5000 0.0000
Nb 0.0000 0.0000 0.0000
O 0.0000 0.2518 0.2518
O 0.0000 0.7482 0.7482
O 0.2500 0.5000 0.7500
O 0.2500 0.7500 0.5000
O 0.2518 0.0000 0.2518
O 0.2518 0.2518 0.0000
O 0.5000 0.2500 0.7500
O 0.5000 0.7500 0.2500
O 0.7482 0.0000 0.7482
O 0.7482 0.7482 0.0000
O 0.7500 0.2500 0.5000
O 0.7500 0.5000 0.2500


8.
Entry from the Alexandria database: crystalline SrTiNbO6 at its relaxed geometry (PBE).

Calculated values
formation energy (no corrections) = -23.6 eV per formula unit
SG = P-31c, No. 163
uncorrected energy = -8.11 eV per atom
total magnetization = 2.1 μB per cell

Cell: 5.3131 5.3131 10.6667 Å, 90.00 90.00 120.00°
Atoms (fractional coordinates):
Sr 0.0000 0.0000 0.0000
Sr 0.0000 0.0000 0.5000
Ti 0.3333 0.6667 0.2500
Ti 0.6667 0.3333 0.7500
Nb 0.3333 0.6667 0.7500
Nb 0.6667 0.3333 0.2500
O 0.0055 0.3840 0.1466
O 0.0055 0.6215 0.3534
O 0.3785 0.3840 0.3534
O 0.3785 0.9945 0.1466
O 0.3840 0.0055 0.6466
O 0.3840 0.3785 0.8534
O 0.6160 0.6215 0.1466
O 0.6160 0.9945 0.3534
O 0.6215 0.0055 0.8534
O 0.6215 0.6160 0.6466
O 0.9945 0.3785 0.6466
O 0.9945 0.6160 0.8534